DFT (PBE-GGA) results for crystalline Zr2Ni2Rh at its relaxed geometry.

```
Zr2Ni2Rh
1.0
6.985 0.000 0.000
0.000 6.985 0.000
0.000 0.000 3.277
Rh Zr Ni
2 4 4
Direct
0.500 0.500 0.000
0.000 0.000 0.000
0.321 0.179 0.500
0.821 0.321 0.500
0.679 0.821 0.500
0.179 0.679 0.500
0.622 0.122 0.000
0.122 0.378 0.000
0.878 0.622 0.000
0.378 0.878 0.000
```

## Properties
energy of formation: -537 meV/atom
calculated total energy: -7.74 eV/atom